Entry 1:
A plane-wave DFT calculation with PBE-GGA was carried out for GdScO3 after structural relaxation.

Lattice parameters (Å, degrees): 5.6293 5.6293 5.6293 120.50 88.89 120.78
Closest atoms and distances in Å follow each position.
Fractional coordinates of all 10 atoms:
O1 0.3246 0.0000 0.8246  2 Sc 2.06
O2 0.8790 0.1290 0.7500  2 Sc 2.13, 1 Gd 2.24
O3 0.6754 0.0000 0.1754  2 Sc 2.06
O4 0.3246 0.5000 0.3246  2 Sc 2.06
O5 0.1210 0.8710 0.2500  2 Sc 2.13, 1 Gd 2.24
O6 0.6754 0.5000 0.6754  2 Sc 2.06
Sc1 0.0000 0.0000 0.0000  6 O 2.06-2.13
Sc2 0.5000 0.0000 0.5000  6 O 2.06-2.13
Gd1 0.7191 0.4691 0.2500  5 O 2.24-2.33
Gd2 0.2809 0.5309 0.7500  5 O 2.24-2.33

Output
crystal system	orthorhombic
total DFT energy (no corrections)	-0.3176	hartree per atom
total magnetization	0.0	μB/f.u.


Entry 2:
A plane-wave DFT calculation with PBE-GGA was carried out for ErAlGaNi after structural relaxation.

Lattice parameters (Å, degrees): 5.4115 5.4115 6.7853 90.00 90.00 135.94
Closest atoms and distances in Å follow each position.
Fractional coordinates of all 8 atoms:
Ga1 0.8536 0.1464 0.9477  3 Ni 2.47-2.53, 1 Al 2.66
Ga2 0.1464 0.8536 0.4477  3 Ni 2.47-2.53, 1 Al 2.66
Al1 0.1537 0.8463 0.0552  3 Ni 2.47-2.49, 1 Ga 2.66
Al2 0.8463 0.1537 0.5552  3 Ni 2.47-2.49, 1 Ga 2.66
Er1 0.4347 0.5653 0.2490  3 Ni 2.80-3.00, 2 Ga 2.99, 3 Al 3.04-3.11
Er2 0.5653 0.4347 0.7490  3 Ni 2.80-3.00, 2 Ga 2.99, 3 Al 3.04-3.11
Ni1 0.7142 0.2858 0.2482  3 Al 2.47-2.49, 3 Ga 2.47-2.53
Ni2 0.2858 0.7142 0.7482  3 Al 2.47-2.49, 3 Ga 2.47-2.53

Output
crystal system	orthorhombic
total magnetization	0.0	μB/f.u.
ΔE to the lowest computed polymorph	4	meV/atom


Entry 3:
A plane-wave DFT calculation with PBE-GGA was carried out for Sm2SnGe after structural relaxation.

Lattice parameters (Å, degrees): 4.1794 6.0924 6.0924 43.73 90.00 90.00
Closest atoms and distances in Å follow each position.
Fractional coordinates of all 4 atoms:
Sm1 0.0000 0.8585 0.8585  1 Ge 3.03, 4 Sn 3.15
Sm2 0.5000 0.1349 0.1349  4 Ge 3.13, 3 Sn 3.18-3.36
Sn1 0.5000 0.4162 0.4162  2 Ge 2.87, 5 Sm 3.15-3.18
Ge1 0.0000 0.5904 0.5904  2 Sn 2.87, 5 Sm 3.03-3.13

Output
crystal system	orthorhombic
total DFT energy (no corrections)	-0.1953	hartree per atom
total magnetization	0.0	μB/f.u.


Entry 4:
A plane-wave DFT calculation with PBE-GGA was carried out for GdMgZn after structural relaxation.

Lattice parameters (Å, degrees): 6.4753 6.3718 7.8197 86.58 91.27 59.93
Closest atoms and distances in Å follow each position.
Fractional coordinates of all 12 atoms:
Mg1 0.6203 0.8823 0.4550  2 Zn 2.80-2.82, 2 Mg 2.96-2.97, 1 Gd 2.97
Mg2 0.1398 0.5251 0.4651  2 Zn 2.78-2.89, 2 Mg 2.97-3.09
Mg3 0.9915 0.6362 0.8372  2 Zn 2.86-2.99, 1 Mg 3.09, 1 Gd 3.19
Mg4 0.6991 0.3820 0.4614  4 Zn 2.77-2.96, 1 Mg 2.96
Zn1 0.1499 0.9713 0.4845  3 Mg 2.77-2.89, 1 Zn 2.78
Zn2 0.9958 0.1931 0.7877  1 Zn 2.78, 2 Mg 2.86-2.96, 1 Gd 3.10
Zn3 0.3421 0.6105 0.1786  1 Zn 2.71, 2 Mg 2.78-2.89, 1 Gd 2.93
Zn4 0.7448 0.6370 0.1558  1 Zn 2.71, 3 Mg 2.80-2.99, 2 Gd 2.99-3.01
Gd1 0.5264 0.1606 0.7638  4 Mg 2.97-3.22, 1 Zn 3.15, 3 Gd 3.25-3.33
Gd2 0.8372 0.0526 0.1349  4 Zn 2.99-3.22, 2 Gd 3.16-3.33, 2 Mg 3.25-3.28
Gd3 0.2457 0.1867 0.1403  6 Zn 3.08-3.39, 1 Gd 3.16, 3 Mg 3.19-3.29
Gd4 0.4604 0.6889 0.8297  4 Zn 2.93-3.18, 2 Mg 3.22-3.28, 2 Gd 3.25-3.26

Output
crystal system	triclinic
total DFT energy (no corrections)	-0.0945	hartree per atom
total magnetization	0.0	μB/f.u.


Entry 5:
A plane-wave DFT calculation with PBE-GGA was carried out for LuAlW after structural relaxation.

Lattice parameters (Å, degrees): 4.6071 4.6071 4.6071 60.00 60.00 60.00
Closest atoms and distances in Å follow each position.
Fractional coordinates of all 3 atoms:
W1 0.0000 0.0000 0.0000  4 Al 2.82, 4 Lu 2.82
Lu1 0.7500 0.7500 0.7500  4 W 2.82
Al1 0.2500 0.2500 0.2500  4 W 2.82

Output
crystal system	cubic
total magnetization	1.7	μB/f.u.
ΔE to the lowest computed polymorph	0	meV/atom


Entry 6:
A plane-wave DFT calculation with PBE-GGA was carried out for Al3TlAu2 after structural relaxation.

Lattice parameters (Å, degrees): 4.4442 4.4442 6.2845 90.00 90.00 90.00
Closest atoms and distances in Å follow each position.
Fractional coordinates of all 6 atoms:
Tl1 0.5000 0.5000 0.5000  4 Au 2.85, 6 Al 3.14
Au1 0.0000 0.5000 0.2158  6 Al 2.60-2.85, 2 Tl 2.85
Au2 0.5000 0.0000 0.7842  6 Al 2.60-2.85, 2 Tl 2.85
Al1 0.0000 0.0000 0.5000  4 Au 2.85, 2 Al 3.14, 4 Tl 3.14
Al2 0.0000 0.0000 0.0000  4 Au 2.60
Al3 0.5000 0.5000 0.0000  4 Au 2.60

Output
crystal system	tetragonal
total DFT energy (no corrections)	-0.1308	hartree per atom


Entry 7:
A plane-wave DFT calculation with PBE-GGA was carried out for LiTl2PtI6 after structural relaxation.

Lattice parameters (Å, degrees): 8.0096 8.0096 8.0096 60.00 60.00 60.00
Closest atoms and distances in Å follow each position.
Fractional coordinates of all 10 atoms:
Pt1 0.5000 0.5000 0.5000  6 I 2.75
I1 0.7426 0.2574 0.7426  1 Pt 2.75, 1 Li 2.92
I2 0.2574 0.7426 0.2574  1 Pt 2.75, 1 Li 2.92
I3 0.2574 0.2574 0.7426  1 Pt 2.75, 1 Li 2.92
I4 0.7426 0.7426 0.2574  1 Pt 2.75, 1 Li 2.92
I5 0.2574 0.7426 0.7426  1 Pt 2.75, 1 Li 2.92
I6 0.7426 0.2574 0.2574  1 Pt 2.75, 1 Li 2.92
Li1 0.0000 0.0000 0.0000  6 I 2.92
Tl1 0.7500 0.7500 0.7500  12 I 4.01
Tl2 0.2500 0.2500 0.2500  12 I 4.01

Output
crystal system	cubic
total DFT energy (no corrections)	-0.0968	hartree per atom
total magnetization	0.0	μB/f.u.


Entry 8:
A plane-wave DFT calculation with PBE-GGA was carried out for LiNi3Sb5 after structural relaxation.

Lattice parameters (Å, degrees): 5.2982 5.2982 8.1033 90.00 90.00 120.00
Closest atoms and distances in Å follow each position.
Fractional coordinates of all 9 atoms:
Sb1 0.3333 0.6667 0.2300  3 Ni 2.67
Sb2 0.6667 0.3333 0.2300  3 Ni 2.67
Sb3 0.0000 0.0000 0.5000  6 Ni 2.65
Sb4 0.6667 0.3333 0.7700  3 Ni 2.67
Sb5 0.3333 0.6667 0.7700  3 Ni 2.67
Li1 0.0000 0.0000 0.0000  12 Sb 3.58
Ni1 0.0000 0.5000 0.5000  4 Ni 2.65, 6 Sb 2.65-2.67
Ni2 0.5000 0.0000 0.5000  4 Ni 2.65, 6 Sb 2.65-2.67
Ni3 0.5000 0.5000 0.5000  6 Sb 2.65-2.67, 4 Ni 2.65

Output
crystal system	hexagonal
total DFT energy (no corrections)	-0.1649	hartree per atom
total magnetization	0.0	μB/f.u.